Record 1
NpMnGaRh: optimized geometry, PBE.

Computed properties:
- Total moment: 0.41 μB per atom
- Theoretical density: 11.78 Mg/m³
- Energy of formation from the pure elements: -0.216 eV per atom

```
data_NpMnGaRh
_chemical_formula_sum 'Np4 Mn4 Ga4 Rh4'
_cell_length_a 6.3985
_cell_length_b 6.3985
_cell_length_c 6.3985
_cell_angle_alpha 90.00
_cell_angle_beta 90.00
_cell_angle_gamma 90.00
_space_group_name_H-M_alt 'F -4 3 m'
_space_group_IT_number 216
_space_group_name_Hall 'F -4 2 3'
loop_
_atom_site_label
_atom_site_type_symbol
_atom_site_fract_x
_atom_site_fract_y
_atom_site_fract_z
_atom_site_occupancy
Np1 Np 0.0000 0.0000 0.0000 1
Mn1 Mn 0.2500 0.2500 0.7500 1
Ga1 Ga 0.0000 0.0000 0.5000 1
Rh1 Rh 0.2500 0.2500 0.2500 1
```

=====

Record 2
Pm4HPb3: optimized geometry, PBE.

Computed properties:
- Total moment: 0.00 μB per atom
- Final energy: -4.528 eV per atom
- Theoretical density: 7.87 Mg/m³

```
data_Pm4HPb3
_chemical_formula_sum 'Pm8 H2 Pb6'
_cell_length_a 12.5780
_cell_length_b 6.3465
_cell_length_c 6.3570
_cell_angle_alpha 90.00
_cell_angle_beta 90.00
_cell_angle_gamma 90.00
_space_group_name_H-M_alt 'P m n 21'
_space_group_IT_number 31
loop_
_space_group_symop_operation_xyz
'x,y,z'
'-x+1/2,-y,z+1/2'
'-x,y,z'
'x+1/2,-y,z+1/2'
loop_
_atom_site_label
_atom_site_type_symbol
_atom_site_fract_x
_atom_site_fract_y
_atom_site_fract_z
_atom_site_occupancy
Pm1 Pm 0.0000 0.1830 0.0000 1
Pm2 Pm 0.0000 0.7381 0.4274 1
Pm3 Pm 0.2500 0.2490 0.4894 1
H1 H 0.0000 0.8245 0.0728 1
Pb1 Pb 0.0000 0.2382 0.5036 1
Pb2 Pb 0.2497 0.2522 0.9925 1
```

=====

Record 3
Lu2MgMn: optimized geometry, PBE.

Computed properties:
- Total moment: 0.66 μB per atom
- Theoretical density: 7.68 Mg/m³
- Energy of formation from the pure elements: 0.006 eV per atom

```
data_Lu2MgMn
_chemical_formula_sum 'Lu2 Mg1 Mn1'
_cell_length_a 3.3888
_cell_length_b 3.3888
_cell_length_c 8.0770
_cell_angle_alpha 90.00
_cell_angle_beta 90.00
_cell_angle_gamma 90.00
_space_group_name_H-M_alt 'P 4/m m m'
_space_group_IT_number 123
_space_group_name_Hall '-P 4 2'
loop_
_atom_site_label
_atom_site_type_symbol
_atom_site_fract_x
_atom_site_fract_y
_atom_site_fract_z
_atom_site_occupancy
Lu1 Lu 0.0000 0.0000 0.2113 1
Mg1 Mg 0.5000 0.5000 0.5000 1
Mn1 Mn 0.5000 0.5000 0.0000 1
```

=====

Record 4
Pu4HAu2: optimized geometry, PBE.

Computed properties:
- Total moment: 3.52 μB per atom
- Final energy: -9.829 eV per atom
- Theoretical density: 13.96 Mg/m³

```
data_Pu4HAu2
_chemical_formula_sum 'Pu8 H2 Au4'
_cell_length_a 4.4938
_cell_length_b 4.4938
_cell_length_c 16.1496
_cell_angle_alpha 90.00
_cell_angle_beta 90.00
_cell_angle_gamma 90.00
_space_group_name_H-M_alt 'I 4/m m m'
_space_group_IT_number 139
_space_group_name_Hall '-I 4 2'
loop_
_atom_site_label
_atom_site_type_symbol
_atom_site_fract_x
_atom_site_fract_y
_atom_site_fract_z
_atom_site_occupancy
Pu1 Pu 0.0000 0.0000 0.1782 1
Pu2 Pu 0.0000 0.5000 0.0000 1
H1 H 0.0000 0.0000 0.0000 1
Au1 Au 0.0000 0.0000 0.3628 1
```

=====

The lowest theoretical density belongs to which entry?
Lu2MgMn

=====

Number 2 is which compound?
Pm4HPb3

=====

Look up the theoretical density of the third one.
7.68 Mg/m³